First-principles (PBE) data for a relaxed structure of LiYMo2, as listed in the Alexandria database.

Energy of formation from the pure elements: 0.39 eV/atom
Excess energy over the best structure of this formula in the dataset: 131.0 meV/atom
Crystal system: orthorhombic
SG: No. 47
Energy: -7.1176 eV per atom

abc: 3.4580 4.2187 4.9383
angles: 90.00 90.00 90.00
Fractional positions:
Li 0.0000 0.5000 0.5000
Mo 0.5000 0.5000 0.0000
Mo 0.0000 0.0000 0.0000
Y 0.5000 0.0000 0.5000